A plane-wave DFT calculation with PBE was carried out for Ti3HAu after structural relaxation.

Cell: 4.0866 4.0866 4.0866 Å, 90.00 90.00 90.00°
Closest atoms and distances in Å follow each position.
Atoms (fractional coordinates):
Au 0.5000 0.5000 0.5000  12 Ti 2.89
Ti 0.5000 0.0000 0.0000  2 H 2.04
Ti 0.0000 0.5000 0.0000  2 H 2.04
Ti 0.0000 0.0000 0.5000  2 H 2.04
H 0.0000 0.0000 0.0000  6 Ti 2.04

Output
- ρ (g/cm³) = 8.31
- energy above the lowest structure with this stoichiometry (meV/atom) = 0
- Fermi-level density of states (states/eV per cell) = 4.6